Compound: Ce5Si2Ge2
Source: the Alexandria database
Functional: PBE
Structure: optimized geometry

Computed properties:
DOS at the Fermi energy   40.39 states/eV/cell
M_tot   3.90 μB per formula unit
Formation energy from raw total energies   -0.668 eV per atom
DFT total energy   -6.1958 eV per atom

Cell: 7.800 7.746 8.355 Å, 117.62 90.00 90.00°
Fractional positions:
Ce 0.181 0.178 0.726
Ce 0.319 0.678 0.726
Ce 0.819 0.548 0.726
Ce 0.500 0.500 0.000
Ce 0.819 0.822 0.274
Ce 0.000 0.000 0.000
Ce 0.681 0.322 0.274
Ce 0.181 0.452 0.274
Ce 0.681 0.048 0.726
Ce 0.319 0.952 0.274
Ge 0.500 0.711 0.422
Ge 0.500 0.289 0.578
Ge 0.000 0.789 0.578
Ge 0.000 0.211 0.422
Si 0.613 0.889 0.000
Si 0.387 0.111 0.000
Si 0.113 0.611 0.000
Si 0.887 0.389 0.000

---

Compound: Ce3SiGe4
Source: the Alexandria database
Functional: PBE
Structure: optimized geometry

Computed properties:
DOS at the Fermi energy   14.94 states/eV/cell
M_tot   1.93 μB per formula unit
Formation energy from raw total energies   -0.561 eV per atom
DFT total energy   -5.7729 eV per atom

Cell: 4.415 4.012 11.212 Å, 110.97 101.36 90.00°
Fractional positions:
Ge 0.279 0.058 0.558
Ge 0.721 0.942 0.442
Ge 0.598 0.696 0.196
Ge 0.402 0.304 0.804
Ce 0.160 0.319 0.319
Ce 0.840 0.681 0.681
Ce 0.000 0.500 0.000
Si 0.500 0.000 0.000

---

Compound: Ce3Si4Ge
Source: the Alexandria database
Functional: PBE
Structure: optimized geometry

Computed properties:
DOS at the Fermi energy   9.50 states/eV/cell
M_tot   0.00 μB per formula unit
Formation energy from raw total energies   -0.422 eV per atom
DFT total energy   -5.9362 eV per atom

Cell: 4.276 6.232 7.939 Å, 113.11 105.62 90.00°
Fractional positions:
Si 0.627 0.818 0.253
Si 0.627 0.435 0.253
Si 0.373 0.182 0.747
Si 0.373 0.565 0.747
Ge 0.500 0.000 0.000
Ce 0.000 0.500 0.000
Ce 0.177 0.177 0.355
Ce 0.823 0.823 0.645

---

Compound: Ce3Si2Ge2
Source: the Alexandria database
Functional: PBE
Structure: optimized geometry

Computed properties:
DOS at the Fermi energy   14.56 states/eV/cell
M_tot   2.09 μB per formula unit
Relative energy among the computed polymorphs   0.195 eV/f.u.
Formation energy from raw total energies   -0.680 eV per atom
DFT total energy   -6.0920 eV per atom

Cell: 4.024 4.366 9.495 Å, 103.29 102.23 90.00°
Fractional positions:
Ce 0.319 0.819 0.638
Ce 0.681 0.181 0.362
Ce 0.000 0.000 0.000
Si 0.436 0.436 0.872
Si 0.564 0.564 0.128
Ge 0.852 0.352 0.704
Ge 0.148 0.648 0.296

---

What is the formula in the third record?
Ce3Si4Ge

---

Look up the DOS at the Fermi energy of the fourth one.
14.56 states/eV/cell

---

Which value of DFT total energy does entry 4 give?
-6.0920 eV per atom

---

Among the records above, which one has the highest formation energy from raw total energies?
Ce3Si4Ge